DFT (PBE-GGA) results for a relaxed Ge3HBr crystal.

```
Ge3HBr
1.0
4.510 0.000 0.000
0.000 4.510 0.000
0.000 0.000 4.510
Ge H Br
3 1 1
Direct
0.000 0.000 0.500
0.000 0.500 0.000
0.500 0.000 0.000
0.000 0.000 0.000
0.500 0.500 0.500
```

Results
- DOS at the Fermi energy: 4.52 states/eV per cell
- Space-group type: No. 221
- Energy above the most stable polymorph in this dataset: 0 meV per atom

DFT (PBE-GGA) results for a relaxed K3HgOs2O9 crystal.

```
K3HgOs2O9
1.0
5.716 0.000 0.000
-2.858 4.950 0.000
0.000 0.000 7.426
K Hg Os O
3 1 2 9
Direct
0.000 0.000 0.000
0.333 0.667 0.668
0.667 0.333 0.332
0.000 0.000 0.500
0.333 0.667 0.152
0.667 0.333 0.848
0.000 0.500 0.000
0.177 0.355 0.291
0.177 0.823 0.291
0.355 0.177 0.709
0.500 0.000 0.000
0.500 0.500 0.000
0.645 0.823 0.291
0.823 0.177 0.709
0.823 0.645 0.709
```

Results
- DOS at the Fermi energy: 7.10 states/eV per cell
- Space-group type: No. 164
- E_form (uncorrected): -1.11 eV per atom